(1)
12
Lattice="-2.278 0.732 -4.796 -0.851 -8.118 2.160 -6.873 4.849 4.004" Properties=species:S:1:pos:R:3 comment="BaPm3Rh2 (PBE-GGA, optimized geometry)" final_energy_ev_per_atom=-5.4834 ef_ev_per_atom=-0.3371 pbc="T T T"
Ba -9.279 -0.509 1.334
Ba -0.723 -2.029 0.034
Pm -5.582 -1.580 2.410
Pm -7.466 -3.484 0.020
Pm -6.217 2.063 0.273
Pm -3.785 -4.601 1.096
Pm -2.536 0.946 1.349
Pm -4.421 -0.957 -1.041
Rh -7.690 -3.261 3.155
Rh -2.312 0.724 -1.786
Rh -4.894 -3.676 -1.231
Rh -5.108 1.138 2.600

(2)
6
Lattice="0.000 3.741 3.741 3.741 0.000 3.741 3.741 3.741 0.000" Properties=species:S:1:pos:R:3 comment="ZnMo4Cl (PBE-GGA, optimized geometry)" raw_formation_energy_ev_per_atom=0.86 final_energy_ev_per_atom=-6.8804 pbc="T T T"
Zn 5.612 5.612 5.612
Mo 2.781 4.702 4.702
Mo 4.702 4.702 2.781
Mo 4.702 2.781 4.702
Mo 2.781 2.781 2.781
Cl 0.000 0.000 0.000

(3)
6
Lattice="-0.922 -4.301 0.150 -0.045 -1.797 -4.505 3.797 -2.610 -1.548" Properties=species:S:1:pos:R:3 comment="CrGeOs (PBE-GGA, optimized geometry)" final_energy_ev_per_atom=-8.3806 ef_ev_per_atom=0.1096 pbc="T T T"
Cr 2.854 -3.325 -4.508
Cr -0.024 -5.383 -1.395
Ge 0.523 -5.581 -4.071
Ge 2.307 -3.127 -1.832
Os 0.218 -3.297 -3.249
Os 2.612 -5.411 -2.654

(4)
6
Lattice="4.424 0.000 1.835 2.064 5.645 1.273 0.079 -0.009 6.059" Properties=species:S:1:pos:R:3 comment="PrAlCd (PBE-GGA, optimized geometry)" final_energy_ev_per_atom=-3.5394 ef_ev_per_atom=-0.3937 pbc="T T T"
Pr 2.862 1.198 5.599
Pr 3.705 4.438 3.568
Al 1.506 2.157 2.619
Al 5.061 3.479 6.548
Cd 4.144 1.280 2.509
Cd 2.423 4.356 6.658

(5)
11
Lattice="7.737 0.344 0.298 4.240 7.483 -0.637 -0.053 -5.030 6.966" Properties=species:S:1:pos:R:3 comment="BaTe2Au2Se6 (PBE-GGA, optimized geometry)" raw_formation_energy_ev_per_atom=-0.35 final_energy_ev_per_atom=-3.5881 pbc="T T T"
Ba 3.842 -2.343 3.632
Te 7.677 -1.523 5.859
Te 4.247 4.320 0.768
Au 3.884 1.697 4.401
Au 8.040 1.100 2.226
Se 6.325 5.729 0.180
Se 9.336 2.786 1.043
Se 5.291 3.447 3.449
Se 2.589 0.011 5.584
Se 6.633 -0.650 3.178
Se 5.599 -2.932 6.447

(6)
6
Lattice="-4.559 -0.363 1.823 0.255 -1.646 6.957 -1.864 8.271 3.631" Properties=species:S:1:pos:R:3 comment="RbTeI (PBE-GGA, optimized geometry)" raw_formation_energy_ev_per_atom=-0.73 final_energy_ev_per_atom=-2.6161 de_polymorph_mev_per_atom=131.3 pbc="T T T"
Rb -2.583 1.092 7.053
Rb -3.585 5.171 5.359
Te -1.949 5.816 9.576
Te -4.218 0.447 2.835
I -4.783 3.903 8.756
I -1.384 2.360 3.656